# 1
# PaSn2Bi PBE optimized geometry
data_PaSn2Bi
_cell_length_a 4.801
_cell_length_b 4.690
_cell_length_c 4.690
_cell_angle_alpha 90.00
_cell_angle_beta 90.00
_cell_angle_gamma 90.00
_symmetry_space_group_name_H-M 'P 1'
_symmetry_Int_Tables_number 1
loop_
_symmetry_equiv_pos_as_xyz
'x,y,z'
loop_
_atom_site_label
_atom_site_fract_x
_atom_site_fract_y
_atom_site_fract_z
Pa1 0.500 0.500 0.500
Sn1 0.000 0.000 0.500
Sn2 0.000 0.500 0.000
Bi1 0.500 0.000 0.000
# Total energy   -5.562 eV per atom
# Density of states at the Fermi level   3.7 states/eV per cell
# Energy of formation from the pure elements   -0.216 eV per atom
# SG   P4/mmm
# Distance to the lowest polymorph of the same formula   0.000 eV per atom



# 2
# Pa2SnBi PBE optimized geometry
data_Pa2SnBi
_cell_length_a 3.323
_cell_length_b 5.702
_cell_length_c 5.702
_cell_angle_alpha 90.00
_cell_angle_beta 90.00
_cell_angle_gamma 90.00
_symmetry_space_group_name_H-M 'P 1'
_symmetry_Int_Tables_number 1
loop_
_symmetry_equiv_pos_as_xyz
'x,y,z'
loop_
_atom_site_label
_atom_site_fract_x
_atom_site_fract_y
_atom_site_fract_z
Bi1 0.500 0.000 0.000
Pa1 0.000 0.000 0.500
Pa2 0.000 0.500 0.000
Sn1 0.500 0.500 0.500
# Total energy   -6.833 eV per atom
# Density of states at the Fermi level   8.4 states/eV per cell
# Energy of formation from the pure elements   -0.114 eV per atom
# SG   P4/mmm
# Distance to the lowest polymorph of the same formula   0.000 eV per atom



# 3
# PaSnBi2 PBE optimized geometry
data_PaSnBi2
_cell_length_a 4.153
_cell_length_b 4.153
_cell_length_c 6.655
_cell_angle_alpha 90.00
_cell_angle_beta 90.00
_cell_angle_gamma 90.00
_symmetry_space_group_name_H-M 'P 1'
_symmetry_Int_Tables_number 1
loop_
_symmetry_equiv_pos_as_xyz
'x,y,z'
loop_
_atom_site_label
_atom_site_fract_x
_atom_site_fract_y
_atom_site_fract_z
Pa1 0.500 0.500 0.500
Bi1 0.000 0.000 0.260
Bi2 0.000 0.000 0.740
Sn1 0.500 0.500 0.000
# Total energy   -5.433 eV per atom
# Density of states at the Fermi level   3.9 states/eV per cell
# Energy of formation from the pure elements   -0.118 eV per atom
# SG   P4/mmm
# Distance to the lowest polymorph of the same formula   0.022 eV per atom



# 4
# Pa2SnBi8 PBE optimized geometry
data_Pa2SnBi8
_cell_length_a 6.253
_cell_length_b 9.424
_cell_length_c 8.942
_cell_angle_alpha 58.20
_cell_angle_beta 70.83
_cell_angle_gamma 51.44
_symmetry_space_group_name_H-M 'P 1'
_symmetry_Int_Tables_number 1
loop_
_symmetry_equiv_pos_as_xyz
'x,y,z'
loop_
_atom_site_label
_atom_site_fract_x
_atom_site_fract_y
_atom_site_fract_z
Bi1 0.500 0.228 0.545
Bi2 0.500 0.772 0.455
Bi3 0.917 0.332 0.768
Bi4 0.083 0.668 0.232
Bi5 0.667 0.619 0.000
Bi6 0.917 0.101 0.232
Bi7 0.333 0.381 0.000
Bi8 0.083 0.899 0.768
Pa1 0.000 0.303 0.394
Pa2 0.000 0.697 0.606
Sn1 0.500 0.000 0.000
# Total energy   -4.839 eV per atom
# Density of states at the Fermi level   12.3 states/eV per cell
# Energy of formation from the pure elements   0.074 eV per atom
# SG   C2/m